1.
The following is a DFT calculation (GGA-PBE) of an optimized crystal structure of K2AgRu.

Lattice parameters (Å, degrees): 5.3475 5.3475 5.3475 60.00 60.00 60.00
Closest atoms and distances in Å follow each position.
Atoms (fractional coordinates):
1 Ag 0.5000 0.5000 0.5000  4 K 3.27, 4 Ru 3.27
2 K 0.2500 0.2500 0.2500  4 K 3.27, 4 Ag 3.27
3 Ru 0.7500 0.7500 0.7500  4 Ag 3.27, 4 K 3.27
4 K 0.0000 0.0000 0.0000  4 Ru 3.27, 4 K 3.27

Spin magnetization, μB/atom: 0.55
Formation energy from the elements, kJ/mol of formula units: 378
ΔE to the lowest computed polymorph, meV per atom: 259.8
Energy, eV/atom: -2.602
DOS at the Fermi energy, states/eV/cell: 3.7


2.
The following is a DFT calculation (GGA-PBE) of an optimized crystal structure of KAg2Ru.

Lattice parameters (Å, degrees): 2.8795 2.8795 9.7328 90.00 90.00 90.00
Closest atoms and distances in Å follow each position.
Atoms (fractional coordinates):
1 K 0.0000 0.0000 0.5107  4 K 2.88
2 Ag 0.0000 0.0000 0.9930  4 Ru 2.87, 8 Ag 2.88-2.94
3 Ru 0.5000 0.5000 0.7850  4 Ag 2.87, 4 Ru 2.88
4 Ag 0.5000 0.5000 0.2113  8 Ag 2.88-2.94

Spin magnetization, μB/atom: 0.33
Formation energy from the elements, kJ/mol of formula units: 252
ΔE to the lowest computed polymorph, meV per atom: 81.5
Energy, eV/atom: -3.365
DOS at the Fermi energy, states/eV/cell: 2.2


3.
The following is a DFT calculation (GGA-PBE) of an optimized crystal structure of K2AgRu.

Lattice parameters (Å, degrees): 6.1447 6.1447 6.1447 138.39 138.39 60.31
Closest atoms and distances in Å follow each position.
Atoms (fractional coordinates):
1 Ru 0.2500 0.7500 0.5000  4 Ag 3.09, 8 K 3.44
2 K 0.5000 0.5000 0.0000  4 K 3.09, 4 Ag 3.44, 4 Ru 3.44
3 Ag 0.7500 0.2500 0.5000  4 Ru 3.09, 8 K 3.44
4 K 0.0000 0.0000 0.0000  4 K 3.09, 4 Ru 3.44, 4 Ag 3.44

Spin magnetization, μB/atom: 0.37
Formation energy from the elements, kJ/mol of formula units: 388
ΔE to the lowest computed polymorph, meV per atom: 287.2
Energy, eV/atom: -2.575
DOS at the Fermi energy, states/eV/cell: 6.5


4.
The following is a DFT calculation (GGA-PBE) of an optimized crystal structure of KAgRu3.

Lattice parameters (Å, degrees): 5.0274 5.0274 5.0274 90.00 90.00 90.00
Closest atoms and distances in Å follow each position.
Atoms (fractional coordinates):
1 K 0.5000 0.5000 0.5000  12 Ru 3.55
2 Ru 0.5000 0.0000 0.0000  2 Ag 2.51
3 Ag 0.0000 0.0000 0.0000  6 Ru 2.51
4 Ru 0.0000 0.0000 0.5000  2 Ag 2.51
5 Ru 0.0000 0.5000 0.0000  2 Ag 2.51

Spin magnetization, μB/atom: 1.35
Formation energy from the elements, kJ/mol of formula units: 1018
ΔE to the lowest computed polymorph, meV per atom: 0.0
Energy, eV/atom: -4.245
DOS at the Fermi energy, states/eV/cell: 13.9


5.
The following is a DFT calculation (GGA-PBE) of an optimized crystal structure of K2AgRu.

Lattice parameters (Å, degrees): 9.1027 9.1027 7.0729 49.95 49.95 90.00
Closest atoms and distances in Å follow each position.
Atoms (fractional coordinates):
1 K 0.1164 0.6250 0.2500  2 K 2.94, 2 Ag 3.25
2 Ru 0.2500 0.7500 0.5000  2 Ag 2.93
3 K 0.6336 0.1250 0.2500  2 K 2.94, 2 Ag 3.25
4 Ag 0.7500 0.2500 0.5000  2 Ru 2.93, 4 K 3.25
5 K 0.3750 0.3664 0.7500  2 K 2.94, 2 Ag 3.25
6 Ru 0.5000 0.5000 0.0000  2 Ag 2.93
7 Ag 0.0000 0.0000 0.0000  2 Ru 2.93, 4 K 3.25
8 K 0.8750 0.8836 0.7500  2 K 2.94, 2 Ag 3.25

Spin magnetization, μB/atom: 0.53
Formation energy from the elements, kJ/mol of formula units: 423
ΔE to the lowest computed polymorph, meV per atom: 377.4
Energy, eV/atom: -2.485
DOS at the Fermi energy, states/eV/cell: 11.3


6.
The following is a DFT calculation (GGA-PBE) of an optimized crystal structure of K2AgRu.

Lattice parameters (Å, degrees): 3.0073 3.0073 10.8755 90.00 90.00 90.10
Closest atoms and distances in Å follow each position.
Atoms (fractional coordinates):
1 K 0.0000 0.0000 0.0119  4 K 3.01, 4 Ru 3.35
2 Ag 0.5000 0.5000 0.7500  4 Ag 3.01
3 K 0.0000 0.0000 0.4881  4 K 3.01, 4 Ru 3.35
4 Ru 0.5000 0.5000 0.2500  4 Ru 3.01, 8 K 3.35

Spin magnetization, μB/atom: 0.36
Formation energy from the elements, kJ/mol of formula units: 337
ΔE to the lowest computed polymorph, meV per atom: 153.9
Energy, eV/atom: -2.708
DOS at the Fermi energy, states/eV/cell: 1.7


7.
The following is a DFT calculation (GGA-PBE) of an optimized crystal structure of KAg2Ru.

Lattice parameters (Å, degrees): 3.2840 3.2840 8.1871 90.00 90.00 90.00
Closest atoms and distances in Å follow each position.
Atoms (fractional coordinates):
1 K 0.5000 0.5000 0.2500  4 K 3.28, 8 Ag 3.46
2 Ru 0.5000 0.5000 0.7500  8 Ag 2.78
3 Ag 0.0000 0.0000 0.5625  4 Ru 2.78, 1 Ag 3.07
4 Ag 0.0000 0.0000 0.9375  4 Ru 2.78, 1 Ag 3.07

Spin magnetization, μB/atom: 0.41
Formation energy from the elements, kJ/mol of formula units: 234
ΔE to the lowest computed polymorph, meV per atom: 34.1
Energy, eV/atom: -3.412
DOS at the Fermi energy, states/eV/cell: 2.6


8.
The following is a DFT calculation (GGA-PBE) of an optimized crystal structure of KAg2Ru.

Lattice parameters (Å, degrees): 5.3769 5.3769 9.8934 74.23 74.23 90.00
Closest atoms and distances in Å follow each position.
Atoms (fractional coordinates):
1 Ag 0.8726 0.1250 0.2500  2 Ru 2.65, 2 Ag 2.69
2 Ag 0.3750 0.1274 0.7500  2 Ru 2.65, 2 Ag 2.69
3 K 0.2500 0.7500 0.5000  8 Ag 3.77-3.78, 4 Ru 3.80
4 Ag 0.8750 0.1226 0.7500  2 Ru 2.65, 2 Ag 2.69
5 Ag 0.8774 0.6250 0.2500  2 Ru 2.65, 2 Ag 2.69
6 K 0.5000 0.5000 0.0000  8 Ag 3.77-3.78, 4 Ru 3.80
7 Ru 0.7500 0.2500 0.5000  4 Ag 2.65
8 Ru 0.0000 0.0000 0.0000  4 Ag 2.65

Spin magnetization, μB/atom: 0.57
Formation energy from the elements, kJ/mol of formula units: 378
ΔE to the lowest computed polymorph, meV per atom: 406.7
Energy, eV/atom: -3.040
DOS at the Fermi energy, states/eV/cell: 9.3


9.
The following is a DFT calculation (GGA-PBE) of an optimized crystal structure of KAg2Ru.

Lattice parameters (Å, degrees): 2.7437 5.4891 5.3924 90.00 90.00 90.00
Closest atoms and distances in Å follow each position.
Atoms (fractional coordinates):
1 Ag 0.5000 0.5000 0.0000  6 Ag 2.74-3.07, 4 Ru 3.03
2 Ru 0.0000 0.5000 0.5000  2 Ru 2.74, 4 Ag 3.03, 4 K 3.07
3 K 0.5000 0.0000 0.5000  2 K 2.74, 4 Ag 3.03, 4 Ru 3.07
4 Ag 0.0000 0.0000 0.0000  6 Ag 2.74-3.07, 4 K 3.03

Spin magnetization, μB/atom: 0.06
Formation energy from the elements, kJ/mol of formula units: 341
ΔE to the lowest computed polymorph, meV per atom: 311.8
Energy, eV/atom: -3.135
DOS at the Fermi energy, states/eV/cell: 4.0


10.
The following is a DFT calculation (GGA-PBE) of an optimized crystal structure of KAg2Ru.

Lattice parameters (Å, degrees): 10.6204 10.6204 10.6204 15.84 15.84 15.84
Closest atoms and distances in Å follow each position.
Atoms (fractional coordinates):
1 Ag 0.4898 0.4898 0.4898  3 Ru 2.85, 6 Ag 2.93
2 Ag 0.0102 0.0102 0.0102  3 Ru 2.85, 6 Ag 2.93
3 Ru 0.7500 0.7500 0.7500  6 Ag 2.85, 6 Ru 2.93
4 K 0.2500 0.2500 0.2500  6 K 2.93

Spin magnetization, μB/atom: 0.07
Formation energy from the elements, kJ/mol of formula units: 263
ΔE to the lowest computed polymorph, meV per atom: 110.1
Energy, eV/atom: -3.336
DOS at the Fermi energy, states/eV/cell: 2.0


11.
The following is a DFT calculation (GGA-PBE) of an optimized crystal structure of K2AgRu.

Lattice parameters (Å, degrees): 11.4535 11.4535 11.4535 15.58 15.58 15.58
Closest atoms and distances in Å follow each position.
Atoms (fractional coordinates):
1 K 0.9964 0.9964 0.9964  6 K 3.10, 3 Ru 3.25, 3 Ag 3.45
2 Ag 0.7500 0.7500 0.7500  6 Ag 3.10, 6 K 3.45
3 Ru 0.2500 0.2500 0.2500  6 Ru 3.10, 6 K 3.25
4 K 0.5036 0.5036 0.5036  6 K 3.10, 3 Ru 3.25, 3 Ag 3.45

Spin magnetization, μB/atom: 0.31
Formation energy from the elements, kJ/mol of formula units: 362
ΔE to the lowest computed polymorph, meV per atom: 218.9
Energy, eV/atom: -2.643
DOS at the Fermi energy, states/eV/cell: 3.9


12.
The following is a DFT calculation (GGA-PBE) of an optimized crystal structure of KAg2Ru.

Lattice parameters (Å, degrees): 5.3545 5.3545 5.9116 82.54 82.54 29.56
Closest atoms and distances in Å follow each position.
Atoms (fractional coordinates):
1 K 0.4979 0.4979 0.5156  2 K 2.73
2 Ag 0.7356 0.7356 0.7746  4 Ag 2.73-3.01, 2 Ru 2.79
3 Ag 0.0025 0.0025 0.0327  4 Ag 2.73-3.01, 3 Ru 2.85-2.95
4 Ru 0.2640 0.2640 0.1770  2 Ru 2.73, 5 Ag 2.79-2.95

Spin magnetization, μB/atom: 0.00
Formation energy from the elements, kJ/mol of formula units: 255
ΔE to the lowest computed polymorph, meV per atom: 88.6
Energy, eV/atom: -3.358
DOS at the Fermi energy, states/eV/cell: 3.3


13.
The following is a DFT calculation (GGA-PBE) of an optimized crystal structure of K4AgRu.

Lattice parameters (Å, degrees): 6.9679 6.9679 6.9679 60.00 60.00 60.00
Closest atoms and distances in Å follow each position.
Atoms (fractional coordinates):
1 K 0.8754 0.3749 0.3749  6 K 3.48-3.49
2 Ag 0.0000 0.0000 0.0000  12 K 4.08, 4 Ru 4.27
3 K 0.3749 0.3749 0.3749  6 K 3.48-3.49
4 Ru 0.7500 0.7500 0.7500  12 K 4.09, 4 Ag 4.27
5 K 0.3749 0.8754 0.3749  6 K 3.48-3.49
6 K 0.3749 0.3749 0.8754  6 K 3.48-3.49

Spin magnetization, μB/atom: 0.43
Formation energy from the elements, kJ/mol of formula units: 619
Energy, eV/atom: -1.684
DOS at the Fermi energy, states/eV/cell: 6.9


14.
The following is a DFT calculation (GGA-PBE) of an optimized crystal structure of KAg2Ru.

Lattice parameters (Å, degrees): 4.8650 2.7429 6.5195 89.77 90.00 90.00
Closest atoms and distances in Å follow each position.
Atoms (fractional coordinates):
1 Ag 0.0000 0.1263 0.9441  4 Ag 2.74-3.01, 4 Ru 2.86
2 K 0.0000 0.6222 0.4869  2 K 2.74
3 Ru 0.5000 0.6275 0.8521  2 Ru 2.74, 6 Ag 2.75-2.86
4 Ag 0.5000 0.1240 0.2169  4 Ag 2.74-3.01, 2 Ru 2.75

Spin magnetization, μB/atom: 0.00
Formation energy from the elements, kJ/mol of formula units: 239
ΔE to the lowest computed polymorph, meV per atom: 46.6
Energy, eV/atom: -3.400
DOS at the Fermi energy, states/eV/cell: 2.2


15.
The following is a DFT calculation (GGA-PBE) of an optimized crystal structure of KAg2Ru.

Lattice parameters (Å, degrees): 4.8660 4.8660 6.9387 85.60 85.60 33.04
Closest atoms and distances in Å follow each position.
Atoms (fractional coordinates):
1 Ag 0.5120 0.5120 0.4283  4 Ag 2.77-2.86, 3 Ru 2.82-2.83
2 Ag 0.9880 0.9880 0.0717  4 Ag 2.77-2.86, 3 Ru 2.82-2.83
3 Ru 0.2500 0.2500 0.2500  2 Ru 2.77, 6 Ag 2.82-2.83
4 K 0.7500 0.7500 0.7500  2 K 2.77

Spin magnetization, μB/atom: 0.13
Formation energy from the elements, kJ/mol of formula units: 251
ΔE to the lowest computed polymorph, meV per atom: 78.3
Energy, eV/atom: -3.368
DOS at the Fermi energy, states/eV/cell: 3.9